A plane-wave DFT calculation with PBE-GGA was carried out for an optimized crystal structure of GdLuMnOs.

Computed properties:
DOS at the Fermi energy   0.62 states/eV/atom
ΔH_f (0 K)   -0.033 eV per atom
Total moment   3.467 μB per cell

Lattice parameters (Å, degrees): 4.867 4.867 4.867 60.00 60.00 60.00
Fractional coordinates of all 4 atoms:
Gd 0.000 0.000 0.000
Lu 0.500 0.500 0.500
Mn 0.750 0.750 0.750
Os 0.250 0.250 0.250

***

A plane-wave DFT calculation with PBE-GGA was carried out for an optimized crystal structure of HfZr2H.

Computed properties:
DOS at the Fermi energy   0.99 states/eV/atom
Total moment   0.000 μB per cell
E   -6.7922 eV/atom

Lattice parameters (Å, degrees): 4.742 4.742 4.742 60.00 60.00 60.00
Fractional coordinates of all 4 atoms:
Hf 0.000 0.000 0.000
Zr 0.250 0.250 0.250
Zr 0.750 0.750 0.750
H 0.500 0.500 0.500

***

A plane-wave DFT calculation with PBE-GGA was carried out for an optimized crystal structure of CeCo2C.

Computed properties:
DOS at the Fermi energy   1.40 states/eV/atom
ΔH_f (0 K)   0.030 eV per atom
Total moment   0.000 μB per cell

Lattice parameters (Å, degrees): 4.456 4.456 2.955 90.00 90.00 110.82
Fractional coordinates of all 4 atoms:
Ce 0.000 0.000 0.000
Co 0.340 0.660 0.500
Co 0.660 0.340 0.500
C 0.500 0.500 0.000

***

A plane-wave DFT calculation with PBE-GGA was carried out for an optimized crystal structure of LiPrMg2.

Computed properties:
DOS at the Fermi energy   0.50 states/eV/atom
ΔH_f (0 K)   -0.076 eV per atom
Total moment   0.000 μB per cell

Lattice parameters (Å, degrees): 5.209 5.209 5.209 60.00 60.00 60.00
Fractional coordinates of all 4 atoms:
Li 0.000 0.000 0.000
Pr 0.750 0.750 0.750
Mg 0.250 0.250 0.250
Mg 0.500 0.500 0.500

***

A plane-wave DFT calculation with PBE-GGA was carried out for an optimized crystal structure of Pa2TlRuO8.

Computed properties:
DOS at the Fermi energy   0.07 states/eV/atom
Formation energy without anion corrections   -2428 kJ/mol of formula units
Total moment   3.026 μB per cell

Lattice parameters (Å, degrees): 5.398 5.398 7.776 90.00 90.00 120.00
Fractional coordinates of all 12 atoms:
Pa 0.333 0.667 0.379
Pa 0.667 0.333 0.621
Tl 0.000 0.000 0.000
Ru 0.000 0.000 0.500
O 0.177 0.353 0.630
O 0.177 0.823 0.630
O 0.333 0.667 0.139
O 0.353 0.177 0.370
O 0.647 0.823 0.630
O 0.667 0.333 0.861
O 0.823 0.177 0.370
O 0.823 0.647 0.370

***

A plane-wave DFT calculation with PBE-GGA was carried out for an optimized crystal structure of Ba2NaRhO4.

Computed properties:
Formation energy without anion corrections   -1090 kJ/mol of formula units
Total moment   0.000 μB per cell

Lattice parameters (Å, degrees): 11.663 10.223 6.638 84.69 60.79 34.52
Fractional coordinates of all 16 atoms:
Ba 0.056 0.056 0.694
Ba 0.306 0.306 0.944
Ba 0.694 0.694 0.056
Ba 0.944 0.944 0.306
Na 0.125 0.125 0.125
Na 0.875 0.875 0.875
Rh 0.375 0.375 0.375
Rh 0.625 0.625 0.625
O 0.003 0.673 0.498
O 0.327 0.498 0.673
O 0.327 0.997 0.673
O 0.498 0.327 0.003
O 0.502 0.673 0.997
O 0.673 0.003 0.327
O 0.673 0.502 0.327
O 0.997 0.327 0.502

***

A plane-wave DFT calculation with PBE-GGA was carried out for an optimized crystal structure of Cu4PIr.

Computed properties:
DOS at the Fermi energy   0.49 states/eV/atom
ΔH_f (0 K)   0.330 eV per atom
Total moment   0.000 μB per cell

Lattice parameters (Å, degrees): 4.778 4.778 4.778 60.00 60.00 60.00
Fractional coordinates of all 6 atoms:
Cu 0.125 0.125 0.125
Cu 0.125 0.125 0.626
Cu 0.125 0.626 0.125
Cu 0.626 0.125 0.125
P 0.500 0.500 0.500
Ir 0.750 0.750 0.750

***

A plane-wave DFT calculation with PBE-GGA was carried out for an optimized crystal structure of Fe3NiRh.

Computed properties:
DOS at the Fermi energy   1.27 states/eV/atom
ΔH_f (0 K)   0.961 eV per atom
Total moment   10.677 μB per cell

Lattice parameters (Å, degrees): 4.261 4.261 4.261 90.00 90.00 90.00
Fractional coordinates of all 5 atoms:
Fe 0.000 0.000 0.500
Fe 0.000 0.500 0.000
Fe 0.500 0.000 0.000
Ni 0.000 0.000 0.000
Rh 0.500 0.500 0.500